A relaxed TbPd2O4 crystal, computed with PBE.

a = 6.523 Å, b = 5.896 Å, c = 6.573 Å
α = 74.07°, β = 60.25°, γ = 56.41°
Fractional coordinates of all 14 atoms:
Pd1 0.375 0.250 0.250
O1 0.646 0.844 0.227
O2 0.126 0.156 0.227
O3 0.104 0.656 0.273
O4 0.717 0.156 0.773
Pd2 0.375 0.750 0.250
O5 0.510 0.844 0.773
Tb1 0.000 0.000 0.000
O6 0.240 0.656 0.727
Pd3 0.875 0.750 0.750
Pd4 0.375 0.250 0.750
O7 0.624 0.344 0.273
Tb2 0.750 0.500 0.500
O8 0.032 0.344 0.727

## Properties
* final energy: -6.36 eV per atom
* ΔE_f (raw): -1.3774 eV/atom


A relaxed Tb2PdO crystal, computed with PBE.

a = 5.906 Å, b = 5.941 Å, c = 9.802 Å
α = 95.96°, β = 90.00°, γ = 90.00°
Fractional coordinates of all 16 atoms:
Tb1 0.759 0.949 0.909
Tb2 0.241 0.449 0.409
Pd1 0.316 0.938 0.363
O1 0.867 0.407 0.377
Tb3 0.798 0.467 0.149
O2 0.133 0.907 0.877
Pd2 0.684 0.438 0.863
Tb4 0.759 0.551 0.591
O3 0.867 0.093 0.123
Pd3 0.316 0.562 0.137
Tb5 0.798 0.033 0.351
Tb6 0.241 0.051 0.091
Tb7 0.202 0.533 0.851
Tb8 0.202 0.967 0.649
O4 0.133 0.593 0.623
Pd4 0.684 0.062 0.637

## Properties
* final energy: -6.61 eV per atom
* ΔE_f (raw): -1.7524 eV/atom


A relaxed TbPdO crystal, computed with PBE.

a = 4.363 Å, b = 6.312 Å, c = 5.826 Å
α = 106.32°, β = 90.07°, γ = 133.56°
Fractional coordinates of all 6 atoms:
O1 0.332 0.582 0.164
Pd1 0.842 0.092 0.182
Pd2 0.158 0.908 0.818
Tb1 0.880 0.630 0.258
Tb2 0.120 0.370 0.742
O2 0.668 0.418 0.836

## Properties
* final energy: -6.66 eV per atom
* ΔE_f (raw): -1.7281 eV/atom


A relaxed TbPdO crystal, computed with PBE.

a = 3.893 Å, b = 3.893 Å, c = 4.519 Å
α = 115.52°, β = 115.52°, γ = 90.00°
Fractional coordinates of all 3 atoms:
Tb1 0.583 0.583 0.166
O1 0.288 0.288 0.576
Pd1 0.979 0.979 0.957

## Properties
* final energy: -6.01 eV per atom
* ΔE_f (raw): -1.0808 eV/atom


A relaxed TbPd3O4 crystal, computed with PBE.

a = 5.882 Å, b = 5.882 Å, c = 5.882 Å
α = 90.00°, β = 90.00°, γ = 90.00°
Fractional coordinates of all 16 atoms:
O1 0.750 0.750 0.750
Pd1 0.750 0.000 0.500
O2 0.750 0.250 0.750
Tb1 0.000 0.000 0.000
O3 0.250 0.250 0.750
Pd2 0.250 0.000 0.500
O4 0.250 0.750 0.250
Pd3 0.500 0.750 0.000
O5 0.750 0.750 0.250
O6 0.750 0.250 0.250
Tb2 0.500 0.500 0.500
Pd4 0.000 0.500 0.250
Pd5 0.500 0.250 0.000
Pd6 0.000 0.500 0.750
O7 0.250 0.750 0.750
O8 0.250 0.250 0.250

## Properties
* final energy: -6.31 eV per atom
* ΔE_f (raw): -1.3022 eV/atom


A relaxed TbPdO3 crystal, computed with PBE.

a = 6.279 Å, b = 6.279 Å, c = 10.522 Å
α = 57.72°, β = 57.72°, γ = 51.05°
Fractional coordinates of all 20 atoms:
Tb1 0.353 0.939 0.364
O1 0.801 0.850 0.335
O2 0.117 0.691 0.542
O3 0.309 0.883 0.958
O4 0.850 0.801 0.835
Tb2 0.647 0.061 0.636
O5 0.691 0.117 0.042
Pd1 0.500 0.000 0.000
Pd2 0.262 0.738 0.750
O6 0.330 0.367 0.309
O7 0.367 0.330 0.809
O8 0.883 0.309 0.458
O9 0.199 0.150 0.665
O10 0.150 0.199 0.165
Tb3 0.061 0.647 0.136
Pd3 0.738 0.262 0.250
Tb4 0.939 0.353 0.864
O11 0.670 0.633 0.691
O12 0.633 0.670 0.191
Pd4 0.000 0.500 0.500

## Properties
* final energy: -6.88 eV per atom
* ΔE_f (raw): -1.9452 eV/atom


A relaxed TbPdO3 crystal, computed with PBE.

a = 5.803 Å, b = 5.801 Å, c = 9.314 Å
α = 107.82°, β = 90.00°, γ = 120.01°
Fractional coordinates of all 20 atoms:
O1 0.598 0.333 0.363
O2 0.791 0.696 0.189
Tb1 0.188 0.706 0.864
O3 0.904 0.696 0.689
O4 0.265 0.667 0.137
O5 0.344 0.132 0.057
O6 0.788 0.132 0.557
Pd1 0.204 0.000 0.250
O7 0.096 0.304 0.311
O8 0.735 0.333 0.863
Pd2 0.796 0.000 0.750
O9 0.209 0.304 0.811
Tb2 0.518 0.706 0.364
O10 0.656 0.868 0.943
Tb3 0.812 0.294 0.136
O11 0.212 0.868 0.443
Tb4 0.482 0.294 0.636
O12 0.402 0.667 0.637
Pd3 0.000 0.500 0.500
Pd4 0.500 0.500 0.000

## Properties
* final energy: -6.83 eV per atom
* ΔE_f (raw): -1.8938 eV/atom


A relaxed Tb2PdO4 crystal, computed with PBE.

a = 3.525 Å, b = 5.847 Å, c = 5.998 Å
α = 115.43°, β = 107.09°, γ = 90.00°
Fractional coordinates of all 7 atoms:
O1 0.872 0.153 0.744
O2 0.128 0.847 0.256
Pd1 0.000 0.000 0.000
O3 0.660 0.298 0.320
Tb1 0.290 0.284 0.580
O4 0.340 0.702 0.680
Tb2 0.710 0.716 0.420

## Properties
* final energy: -7.26 eV per atom
* ΔE_f (raw): -2.3628 eV/atom